[1]
Ti2AlIr, optimized geometry, DFT PBE; energy of formation from the pure elements = -637.9 meV per atom; crystal system = tetragonal; total magnetization = 0.000 μB per formula unit; raw total energy = -30.945 eV/cell
1.0
-1.650 -2.419 -2.734
3.401 -0.152 -1.918
1.054 -3.112 2.116
Al Ir Ti
1 1 2
direct
0.500 0.500 0.500
0.500 0.000 0.000
0.000 0.000 0.500
0.000 0.500 0.000


[2]
ScTcPS2, optimized geometry, DFT PBE; energy above the most stable polymorph in this dataset = 0.000 eV per atom; crystal system = tetragonal; total magnetization = 0.716 μB per formula unit; raw total energy = -30.655 eV/cell
1.0
-3.406 -1.069 -3.153
3.302 -0.512 -3.394
0.393 -4.290 1.029
Tc Sc P S
1 1 1 2
direct
0.000 0.000 0.000
0.500 0.500 0.500
0.000 0.000 0.500
0.500 0.000 0.000
0.000 0.500 0.000